# 1
VASP calculation (PBE) on crystalline La2PdPt2 at its relaxed geometry.

Cell: 4.1654 6.8429 8.1818 Å, 90.00 90.00 90.00°
Fractional positions:
La: 0.0000 0.0000 0.2251
La: 0.0000 0.0000 0.7749
La: 0.5000 0.5000 0.2749
La: 0.5000 0.5000 0.7251
Pd: 0.0000 0.5000 0.0000
Pd: 0.5000 0.0000 0.5000
Pt: 0.0000 0.2975 0.5000
Pt: 0.0000 0.7025 0.5000
Pt: 0.5000 0.2025 0.0000
Pt: 0.5000 0.7975 0.0000

Computed properties:
The size of the total moment is 0.000 μB per atom. For the theoretical density, the calculation gives 11028 kg/m3. As for the energy relative to the elements: -1.0485 eV/atom. Its energy above the lowest structure with this stoichiometry is 0.000 eV/atom. The value obtained for the total DFT energy (no corrections) is -64.74 eV for the cell shown.



# 2
VASP calculation (PBE) on crystalline AlSiBiPb2 at its relaxed geometry.

Cell: 5.3885 5.3885 5.4225 Å, 90.00 90.00 90.00°
Fractional positions:
Al: 0.0000 0.0000 0.0000
Si: 0.5000 0.5000 0.5000
Bi: 0.0000 0.0000 0.5000
Pb: 0.0000 0.5000 0.0000
Pb: 0.5000 0.0000 0.0000

Computed properties:
The size of the total moment is 0.000 μB per atom. For the theoretical density, the calculation gives 7155 kg/m3. The value obtained for the total DFT energy (no corrections) is -16.62 eV for the cell shown.



# 3
VASP calculation (PBE) on crystalline Tb5DyEr12 at its relaxed geometry.

Cell: 10.2090 10.2090 5.8971 Å, 90.00 90.00 114.58°
Fractional positions:
Tb: 0.0000 0.0000 0.0000
Tb: 0.1665 0.8335 0.5000
Tb: 0.3336 0.6664 0.0000
Tb: 0.6664 0.3336 0.0000
Tb: 0.8335 0.1665 0.5000
Dy: 0.5000 0.5000 0.5000
Er: 0.0075 0.3410 0.0480
Er: 0.1594 0.4924 0.5480
Er: 0.1747 0.1747 0.4512
Er: 0.3256 0.3256 0.9513
Er: 0.3410 0.0075 0.0480
Er: 0.4924 0.1594 0.5480
Er: 0.5076 0.8406 0.4520
Er: 0.6590 0.9925 0.9520
Er: 0.6744 0.6744 0.0487
Er: 0.8253 0.8253 0.5488
Er: 0.8406 0.5076 0.4520
Er: 0.9925 0.6590 0.9520

Computed properties:
The size of the total moment is 0.000 μB per atom. For the theoretical density, the calculation gives 8807 kg/m3. As for the energy relative to the elements: 0.1212 eV/atom. The value obtained for the total DFT energy (no corrections) is -80.33 eV for the cell shown.



# 4
VASP calculation (PBE) on crystalline Li2Nd2TlPd5 at its relaxed geometry.

Cell: 9.7034 9.7034 3.8726 Å, 90.00 90.00 90.00°
Fractional positions:
Li: 0.1168 0.3832 0.0000
Li: 0.3832 0.8832 0.0000
Li: 0.6168 0.1168 0.0000
Li: 0.8832 0.6168 0.0000
Nd: 0.1803 0.6803 0.0000
Nd: 0.3197 0.1803 0.0000
Nd: 0.6803 0.8197 0.0000
Nd: 0.8197 0.3197 0.0000
Tl: 0.0000 0.0000 0.0000
Tl: 0.5000 0.5000 0.0000
Pd: 0.0000 0.5000 0.5000
Pd: 0.0686 0.2138 0.5000
Pd: 0.2138 0.9314 0.5000
Pd: 0.2862 0.4314 0.5000
Pd: 0.4314 0.7138 0.5000
Pd: 0.5000 0.0000 0.5000
Pd: 0.5686 0.2862 0.5000
Pd: 0.7138 0.5686 0.5000
Pd: 0.7862 0.0686 0.5000
Pd: 0.9314 0.7862 0.5000

Computed properties:
The size of the total moment is 0.000 μB per atom. For the theoretical density, the calculation gives 9462 kg/m3. As for the energy relative to the elements: -0.5763 eV/atom. The value obtained for the total DFT energy (no corrections) is -94.91 eV for the cell shown.



# 5
VASP calculation (PBE) on crystalline SrLi2SnPd2 at its relaxed geometry.

Cell: 5.0526 5.0526 6.3936 Å, 90.00 90.00 90.00°
Fractional positions:
Sr: 0.0000 0.0000 0.0000
Li: 0.5000 0.5000 0.2994
Li: 0.5000 0.5000 0.7006
Sn: 0.0000 0.0000 0.5000
Pd: 0.0000 0.5000 0.5000
Pd: 0.5000 0.0000 0.5000

Computed properties:
The size of the total moment is 0.056 μB per atom. For the theoretical density, the calculation gives 4406 kg/m3. As for the energy relative to the elements: -0.2597 eV/atom. The value obtained for the total DFT energy (no corrections) is -21.46 eV for the cell shown.



# 6
VASP calculation (PBE) on crystalline Cs3In9Sn2 at its relaxed geometry.

Cell: 9.9210 9.9210 9.9210 Å, 148.94 107.19 81.25°
Fractional positions:
Cs: 0.0000 0.0000 0.0000
Cs: 0.3017 0.3017 0.0000
Cs: 0.6983 0.6983 0.0000
In: 0.0222 0.6592 0.3630
In: 0.1366 0.8574 0.2792
In: 0.2963 0.6592 0.6370
In: 0.4217 0.1426 0.2792
In: 0.5000 0.0000 0.5000
In: 0.5783 0.8574 0.7208
In: 0.7037 0.3408 0.3630
In: 0.8634 0.1426 0.7208
In: 0.9778 0.3408 0.6370
Sn: 0.2989 0.5000 0.7989
Sn: 0.7011 0.5000 0.2011

Computed properties:
The size of the total moment is 0.000 μB per atom. For the theoretical density, the calculation gives 5884 kg/m3. As for the energy relative to the elements: -0.0603 eV/atom. The value obtained for the total DFT energy (no corrections) is -36.06 eV for the cell shown.



# 7
VASP calculation (PBE) on crystalline Sr3Au8 at its relaxed geometry.

Cell: 15.2494 15.2494 15.2494 Å, 164.70 162.85 23.06°
Fractional positions:
Sr: 0.0000 0.0000 0.0000
Sr: 0.3537 0.8537 0.5000
Sr: 0.6463 0.1463 0.5000
Au: 0.0974 0.5974 0.5000
Au: 0.1883 0.6883 0.5000
Au: 0.2552 0.2552 0.0000
Au: 0.4538 0.4538 0.0000
Au: 0.5462 0.5462 0.0000
Au: 0.7448 0.7448 0.0000
Au: 0.8117 0.3117 0.5000
Au: 0.9026 0.4026 0.5000

Computed properties:
The size of the total moment is 0.000 μB per atom. For the theoretical density, the calculation gives 11064 kg/m3. As for the energy relative to the elements: -0.5985 eV/atom. The value obtained for the total DFT energy (no corrections) is -37.85 eV for the cell shown.



# 8
VASP calculation (PBE) on crystalline TaSe2N2 at its relaxed geometry.

Cell: 6.9986 6.9986 3.2635 Å, 90.00 90.00 90.00°
Fractional positions:
Ta: 0.0000 0.0000 0.0000
Ta: 0.5000 0.5000 0.0000
Se: 0.1622 0.3378 0.0000
Se: 0.3378 0.8378 0.0000
Se: 0.6622 0.1622 0.0000
Se: 0.8378 0.6622 0.0000
N: 0.2276 0.7276 0.5000
N: 0.2724 0.2276 0.5000
N: 0.7276 0.7724 0.5000
N: 0.7724 0.2724 0.5000

Computed properties:
The size of the total moment is 0.000 μB per atom. For the theoretical density, the calculation gives 7623 kg/m3. Its energy above the lowest structure with this stoichiometry is 0.794 eV/atom. The value obtained for the total DFT energy (no corrections) is -59.18 eV for the cell shown.



# 9
VASP calculation (PBE) on crystalline K2SnCl6 at its relaxed geometry.

Cell: 7.2739 7.6046 12.2788 Å, 90.00 125.05 90.00°
Fractional positions:
K: 0.2299 0.0687 0.2479
K: 0.2299 0.4313 0.7479
K: 0.7701 0.5687 0.2521
K: 0.7701 0.9313 0.7521
Sn: 0.5000 0.0000 0.0000
Sn: 0.5000 0.5000 0.5000
Cl: 0.1851 0.1829 0.9612
Cl: 0.1851 0.3171 0.4612
Cl: 0.2813 0.7290 0.9638
Cl: 0.2813 0.7710 0.4638
Cl: 0.3371 0.0128 0.7600
Cl: 0.3371 0.4872 0.2600
Cl: 0.6629 0.5128 0.7400
Cl: 0.6629 0.9872 0.2400
Cl: 0.7187 0.2290 0.5362
Cl: 0.7187 0.2710 0.0362
Cl: 0.8149 0.6829 0.5388
Cl: 0.8149 0.8171 0.0388

Computed properties:
The size of the total moment is 0.000 μB per atom. For the theoretical density, the calculation gives 2447 kg/m3. Its energy above the lowest structure with this stoichiometry is 0.000 eV/atom. The value obtained for the total DFT energy (no corrections) is -60.90 eV for the cell shown.



# 10
VASP calculation (PBE) on crystalline Ac8SbPt3I4 at its relaxed geometry.

Cell: 10.0181 10.0181 10.0181 Å, 54.68 54.68 54.68°
Fractional positions:
Ac: 0.2079 0.7425 0.7425
Ac: 0.2283 0.2283 0.2283
Ac: 0.2575 0.2575 0.7921
Ac: 0.2575 0.7921 0.2575
Ac: 0.7425 0.2079 0.7425
Ac: 0.7425 0.7425 0.2079
Ac: 0.7717 0.7717 0.7717
Ac: 0.7921 0.2575 0.2575
Sb: 0.5000 0.5000 0.5000
Pt: 0.0000 0.0000 0.5000
Pt: 0.0000 0.5000 0.0000
Pt: 0.5000 0.0000 0.0000
I: 0.0000 0.0000 0.0000
I: 0.0000 0.5000 0.5000
I: 0.5000 0.0000 0.5000
I: 0.5000 0.5000 0.0000

Computed properties:
The size of the total moment is 0.000 μB per atom. For the theoretical density, the calculation gives 8079 kg/m3. The value obtained for the total DFT energy (no corrections) is -79.57 eV for the cell shown.



# 11
VASP calculation (PBE) on crystalline YHoCuHg at its relaxed geometry.

Cell: 7.2170 7.2170 7.2170 Å, 90.00 90.00 90.00°
Fractional positions:
Y: 0.0000 0.0000 0.0000
Y: 0.0000 0.5000 0.5000
Y: 0.5000 0.0000 0.5000
Y: 0.5000 0.5000 0.0000
Ho: 0.0000 0.0000 0.5000
Ho: 0.0000 0.5000 0.0000
Ho: 0.5000 0.0000 0.0000
Ho: 0.5000 0.5000 0.5000
Cu: 0.2500 0.2500 0.2500
Cu: 0.2500 0.7500 0.7500
Cu: 0.7500 0.2500 0.7500
Cu: 0.7500 0.7500 0.2500
Hg: 0.2500 0.2500 0.7500
Hg: 0.2500 0.7500 0.2500
Hg: 0.7500 0.2500 0.2500
Hg: 0.7500 0.7500 0.7500

Computed properties:
The size of the total moment is 0.000 μB per atom. For the theoretical density, the calculation gives 9153 kg/m3. As for the energy relative to the elements: -0.3407 eV/atom. Its energy above the lowest structure with this stoichiometry is 0.024 eV/atom. The value obtained for the total DFT energy (no corrections) is -67.21 eV for the cell shown.



# 12
VASP calculation (PBE) on crystalline La3Co2Si4 at its relaxed geometry.

Cell: 6.1072 6.1072 8.0857 Å, 106.81 106.81 39.00°
Fractional positions:
La: 0.0000 0.0000 0.0000
La: 0.3969 0.3969 0.3168
La: 0.6031 0.6031 0.6832
Co: 0.2969 0.2969 0.6358
Co: 0.7031 0.7031 0.3642
Si: 0.1259 0.1259 0.3965
Si: 0.2779 0.2779 0.9199
Si: 0.7221 0.7221 0.0801
Si: 0.8741 0.8741 0.6035

Computed properties:
The size of the total moment is 0.000 μB per atom. For the theoretical density, the calculation gives 5947 kg/m3. The value obtained for the total DFT energy (no corrections) is -56.90 eV for the cell shown.